A plane-wave DFT calculation with GGA-PBE was carried out for an optimized crystal structure of AlTl2Si.

Unit cell a=3.217 b=3.217 c=10.005 alpha=90.00 beta=90.00 gamma=111.75
Fractional positions:
1 Tl 0.000 0.000 0.992
2 Tl 0.000 0.000 0.508
3 Si 0.500 0.500 0.750
4 Al 0.500 0.500 0.250

Output
Size of the total moment: 0.00 Bohr magnetons per cell
ΔE_f (raw): 486 meV/atom


A plane-wave DFT calculation with GGA-PBE was carried out for an optimized crystal structure of Al2TlSi.

Unit cell a=6.065 b=6.065 c=6.065 alpha=150.67 beta=131.65 gamma=57.56
Fractional positions:
1 Tl 0.268 0.768 0.500
2 Si 0.530 0.530 0.000
3 Al 0.972 0.972 0.000
4 Al 0.731 0.231 0.500

Output
Size of the total moment: 0.00 Bohr magnetons per cell
ΔE_f (raw): 372 meV/atom
Energy above the most stable polymorph in this dataset: 151.6 meV per atom


A plane-wave DFT calculation with GGA-PBE was carried out for an optimized crystal structure of Al2TlSi.

Unit cell a=3.029 b=3.029 c=8.977 alpha=90.00 beta=90.00 gamma=89.99
Fractional positions:
1 Tl 0.500 0.500 0.744
2 Si 0.000 0.000 0.443
3 Al 0.000 0.000 0.053
4 Al 0.500 0.500 0.260

Output
Size of the total moment: 0.00 Bohr magnetons per cell
ΔE_f (raw): 303 meV/atom
Energy above the most stable polymorph in this dataset: 82.0 meV per atom


A plane-wave DFT calculation with GGA-PBE was carried out for an optimized crystal structure of Al2TlSi.

Unit cell a=5.457 b=5.457 c=5.457 alpha=135.01 beta=135.01 gamma=65.52
Fractional positions:
1 Tl 0.750 0.250 0.500
2 Si 0.500 0.500 0.000
3 Al 0.000 0.000 0.000
4 Al 0.250 0.750 0.500

Output
Size of the total moment: 0.00 Bohr magnetons per cell
ΔE_f (raw): 428 meV/atom
Energy above the most stable polymorph in this dataset: 206.8 meV per atom


A plane-wave DFT calculation with GGA-PBE was carried out for an optimized crystal structure of AlTlSi.

Unit cell a=4.657 b=4.657 c=4.657 alpha=60.00 beta=60.00 gamma=60.00
Fractional positions:
1 Tl 0.000 0.000 0.000
2 Si 0.750 0.750 0.750
3 Al 0.500 0.500 0.500

Output
Size of the total moment: 0.00 Bohr magnetons per cell
ΔE_f (raw): 415 meV/atom
Energy above the most stable polymorph in this dataset: 197.8 meV per atom


A plane-wave DFT calculation with GGA-PBE was carried out for an optimized crystal structure of AlTlSi2.

Unit cell a=6.259 b=6.364 c=4.691 alpha=138.48 beta=137.59 gamma=62.10
Fractional positions:
1 Tl 0.250 0.750 0.500
2 Si 0.946 0.053 0.006
3 Si 0.554 0.447 0.994
4 Al 0.750 0.250 0.500

Output
Size of the total moment: 0.00 Bohr magnetons per cell
ΔE_f (raw): 444 meV/atom
Energy above the most stable polymorph in this dataset: 170.6 meV per atom